Entry 1:
A plane-wave DFT calculation with GGA-PBE was carried out for a relaxed structure of ZrHgBr.

The space group is P3m1 (No. 156) and the conventional cell measures 3.4475, 3.4475 and 7.5905 Å, with angles of 90.00, 90.00 and 120.00 degrees. The distinct sites, in fractional coordinates, are Zr at (0.0000, 0.0000, 0.0000), Hg at (0.3333, 0.6667, 0.7007) and Br at (0.6667, 0.3333, 0.2514).

As for the formation energy (no corrections): -0.494 eV per atom. The energy above the most stable polymorph in this dataset comes out at 99.1 meV/atom. The magnetization comes out at 0.00 μB per atom. The total DFT energy (no corrections) comes out at -0.2941 Ry per atom.

---

Entry 2:
A plane-wave DFT calculation with GGA-PBE was carried out for a relaxed structure of LaScCo2Au.

The space group is P4/mmm (No. 123) and the conventional cell measures 4.896, 4.896 and 4.877 Å, with angles of 90.00, 90.00 and 90.00 degrees. The distinct sites, in fractional coordinates, are La at (0.000, 0.000, 0.000), Sc at (0.500, 0.500, 0.000), Co at (0.000, 0.500, 0.500) and Au at (0.500, 0.500, 0.500).

The magnetization comes out at 0.65 μB per atom. The calculation puts the formation energy at 503 meV/atom. The total DFT energy (no corrections) comes out at -0.3856 Ry per atom.

---

Entry 3:
A plane-wave DFT calculation with GGA-PBE was carried out for a relaxed structure of PbCl.

The space group is I4/m (No. 87) and the conventional cell measures 12.414, 12.414 and 3.466 Å, with angles of 90.00, 90.00 and 90.00 degrees. The distinct sites, in fractional coordinates, are Pb at (0.085, 0.198, 0.000) and Cl at (0.119, 0.695, 0.000).

As for the formation energy (no corrections): -0.562 eV per atom. The magnetization comes out at 0.00 μB per atom. The total DFT energy (no corrections) comes out at -0.2455 Ry per atom.

---

Entry 4:
A plane-wave DFT calculation with GGA-PBE was carried out for a relaxed structure of NaBi.

The space group is I-43m (No. 217) and the conventional cell measures 10.036, 10.036 and 10.036 Å, with angles of 90.00, 90.00 and 90.00 degrees. The distinct sites, in fractional coordinates, are Na at (0.201, 0.201, 0.201) and Bi at (0.113, 0.113, 0.887).

The energy above the most stable polymorph in this dataset comes out at 507.2 meV/atom. The magnetization comes out at 0.10 μB per atom. The calculation puts the formation energy at 202 meV/atom. The total DFT energy (no corrections) comes out at -0.1762 Ry per atom.

---

Entry 5:
A plane-wave DFT calculation with GGA-PBE was carried out for a relaxed structure of K3Tl5Pd2.

The space group is P4/mbm (No. 127) and the conventional cell measures 12.176, 12.176 and 4.143 Å, with angles of 90.00, 90.00 and 90.00 degrees. The distinct sites, in fractional coordinates, are K at (0.000, 0.000, 0.000), K at (0.179, 0.321, 0.000), Tl at (0.000, 0.500, 0.500), Tl at (0.067, 0.773, 0.500) and Pd at (0.114, 0.614, 0.000).

The energy above the most stable polymorph in this dataset comes out at 0.0 meV/atom. The magnetization comes out at 0.00 μB per atom. The calculation puts the formation energy at -141 meV/atom. The total DFT energy (no corrections) comes out at -0.1978 Ry per atom.

---

Entry 6:
A plane-wave DFT calculation with GGA-PBE was carried out for a relaxed structure of In2AuCl.

The space group is F-43m (No. 216) and the conventional cell measures 7.352, 7.352 and 7.352 Å, with angles of 90.00, 90.00 and 90.00 degrees. The distinct sites, in fractional coordinates, are In at (0.000, 0.000, 0.000), In at (0.250, 0.250, 0.250), Au at (0.250, 0.250, 0.750) and Cl at (0.000, 0.000, 0.500).

As for the formation energy (no corrections): -0.078 eV per atom. The energy above the most stable polymorph in this dataset comes out at 359.7 meV/atom. The magnetization comes out at 0.00 μB per atom. The total DFT energy (no corrections) comes out at -0.2005 Ry per atom.

---

Entry 7:
A plane-wave DFT calculation with GGA-PBE was carried out for a relaxed structure of Tm8P3CSe3.

The space group is R-3m (No. 166, hexagonal axes) and the conventional cell measures 7.8128, 7.8128 and 19.5923 Å, with angles of 90.00, 90.00 and 120.00 degrees. The distinct sites, in fractional coordinates, are Tm at (0.0000, 0.0000, 0.2424), Tm at (0.0260, 0.5130, 0.2378), P at (0.0000, 0.5000, 0.5000), C at (0.0000, 0.0000, 0.5000) and Se at (0.0000, 0.5000, 0.0000).

As for the formation energy (no corrections): -1.423 eV per atom. The magnetization comes out at 0.00 μB per atom. The total DFT energy (no corrections) comes out at -0.4558 Ry per atom.

---

Entry 8:
A plane-wave DFT calculation with GGA-PBE was carried out for a relaxed structure of RbMg2Pd2.

The space group is I4/mmm (No. 139) and the conventional cell measures 4.574, 4.574 and 11.520 Å, with angles of 90.00, 90.00 and 90.00 degrees. The distinct sites, in fractional coordinates, are Rb at (0.000, 0.000, 0.000), Mg at (0.000, 0.500, 0.250) and Pd at (0.000, 0.000, 0.378).

The energy above the most stable polymorph in this dataset comes out at 45.6 meV/atom. The magnetization comes out at 0.00 μB per atom. The calculation puts the formation energy at -243 meV/atom. The total DFT energy (no corrections) comes out at -0.2316 Ry per atom.